VASP calculation (PBE) on a geometry-optimized Tl12Hg6Te structure. Values from VASP.

Cell and atoms, written as Quantum ESPRESSO input:
```
&SYSTEM
  ibrav = 0, nat = 19, ntyp = 3
/
ATOMIC_SPECIES
Tl 204.38 Tl.upf
Hg 200.59 Hg.upf
Te 127.60 Te.upf
CELL_PARAMETERS angstrom
8.7547 -0.2545 -2.7526
-3.6798 7.9479 -2.7526
-0.1679 -0.2545 9.1757
ATOMIC_POSITIONS crystal
Tl 0.8775 0.1225 0.5000
Tl 0.3377 0.0890 0.3377
Tl 0.3377 0.3377 0.0890
Tl 0.9110 0.6623 0.6623
Tl 0.6623 0.6623 0.9110
Tl 0.6623 0.9110 0.6623
Tl 0.5000 0.8775 0.1225
Tl 0.1225 0.5000 0.8775
Tl 0.1225 0.8775 0.5000
Tl 0.5000 0.1225 0.8775
Tl 0.8775 0.5000 0.1225
Tl 0.0890 0.3377 0.3377
Hg 0.6965 0.3069 0.6965
Hg 0.6965 0.6965 0.3069
Hg 0.3069 0.6965 0.6965
Hg 0.3035 0.3035 0.6931
Hg 0.3035 0.6931 0.3035
Hg 0.6931 0.3035 0.3035
Te 0.0000 0.0000 0.0000
```

Summary:
Calculated density   10.18 g/cm³
V   617.4 Å³ per cell
SG   No. 166
Energy   -33.12 eV/f.u.